Material: AlFe6Ge
Method: DFT, PBE-GGA
State: optimized geometry

a = 4.0468 Å, b = 4.0468 Å, c = 5.7223 Å
α = 90.00°, β = 90.00°, γ = 90.00°
Space group P4/mmm (No. 123)
Symmetry-distinct sites (fractional):
Al: 0.0000 0.0000 0.0000 (multiplicity 1)
Fe: 0.0000 0.0000 0.5000 (multiplicity 1)
Fe: 0.0000 0.5000 0.2523 (multiplicity 4)
Fe: 0.5000 0.5000 0.0000 (multiplicity 1)
Ge: 0.5000 0.5000 0.5000 (multiplicity 1)

Calculated values
distance to the lowest polymorph of the same formula	0.0	meV/atom
calculated density	7.70	g/cm³
VASP energy	-0.274	hartree per atom